# AcNdCu2Ge2 | Alexandria via LeMat-Bulk | PBE | optimized geometry
# - Density: 7.9 g/cm3
# - DFT formation energy: -630 meV/atom
data_AcNdCu2Ge2
_symmetry_space_group_name_H-M 'P -3 m 1'
_symmetry_Int_Tables_number 164
_symmetry_space_group_name_Hall '-P 3 2"'
_cell_length_a 4.3646
_cell_length_b 4.3646
_cell_length_c 8.1815
_cell_angle_alpha 90.00
_cell_angle_beta 90.00
_cell_angle_gamma 120.00
loop_
_atom_site_label
_atom_site_fract_x
_atom_site_fract_y
_atom_site_fract_z
Ac1 0.0000 0.0000 0.0000
Nd1 0.0000 0.0000 0.5000
Cu1 0.3333 0.6667 0.7280
Ge1 0.3333 0.6667 0.2665



# RbTe2RhN | Alexandria via LeMat-Bulk | PBE | optimized geometry
# - Density: 4.5 g/cm3
# - ΔE_f (raw): 2.219 eV per atom
data_RbTe2RhN
_symmetry_space_group_name_H-M 'P 4/m m m'
_symmetry_Int_Tables_number 123
_symmetry_space_group_name_Hall '-P 4 2'
_cell_length_a 6.158
_cell_length_b 6.158
_cell_length_c 4.434
_cell_angle_alpha 90.00
_cell_angle_beta 90.00
_cell_angle_gamma 90.00
loop_
_atom_site_label
_atom_site_fract_x
_atom_site_fract_y
_atom_site_fract_z
Rb1 0.000 0.000 0.000
Te1 0.000 0.500 0.000
Rh1 0.500 0.500 0.500
N1 0.000 0.000 0.500



# TlTcSb2 | Alexandria via LeMat-Bulk | PBE | optimized geometry
# - Density: 10.0 g/cm3
# - ΔE_f (raw): 0.628 eV per atom
data_TlTcSb2
_symmetry_space_group_name_H-M 'C 1 2/m 1'
_symmetry_Int_Tables_number 12
_symmetry_space_group_name_Hall '-C 2y'
_cell_length_a 6.059
_cell_length_b 8.351
_cell_length_c 3.598
_cell_angle_alpha 90.00
_cell_angle_beta 90.67
_cell_angle_gamma 90.00
loop_
_atom_site_label
_atom_site_fract_x
_atom_site_fract_y
_atom_site_fract_z
Tl1 0.000 0.000 0.000
Tc1 0.000 0.500 0.000
Sb1 0.250 0.250 0.500



# TaCrCl2 | Alexandria via LeMat-Bulk | PBE | optimized geometry
# - Density: 7.1 g/cm3
# - ΔE_f (raw): 0.280 eV per atom
data_TaCrCl2
_symmetry_space_group_name_H-M 'P m m m'
_symmetry_Int_Tables_number 47
_symmetry_space_group_name_Hall '-P 2 2'
_cell_length_a 2.944
_cell_length_b 4.270
_cell_length_c 5.621
_cell_angle_alpha 90.00
_cell_angle_beta 90.00
_cell_angle_gamma 90.00
loop_
_atom_site_label
_atom_site_fract_x
_atom_site_fract_y
_atom_site_fract_z
Ta1 0.000 0.000 0.000
Cr1 0.500 0.000 0.500
Cl1 0.000 0.500 0.500
Cl2 0.500 0.500 0.000



# NaThP | Alexandria via LeMat-Bulk | PBE | optimized geometry
# - Density: 5.3 g/cm3
# - DFT formation energy: -836 meV/atom
data_NaThP
_symmetry_space_group_name_H-M 'P 4/n m m'
_symmetry_Int_Tables_number 129
_cell_length_a 4.092
_cell_length_b 4.092
_cell_length_c 10.733
_cell_angle_alpha 90.00
_cell_angle_beta 90.00
_cell_angle_gamma 90.00
loop_
_symmetry_equiv_pos_as_xyz
'x,y,z'
'-x,-y,-z'
'-y+1/2,x,z'
'y+1/2,-x,-z'
'-x+1/2,-y+1/2,z'
'x+1/2,y+1/2,-z'
'y,-x+1/2,z'
'-y,x+1/2,-z'
'x+1/2,-y,-z'
'-x+1/2,y,z'
'-y,-x,-z'
'y,x,z'
'-x,y+1/2,-z'
'x,-y+1/2,z'
'y+1/2,x+1/2,-z'
'-y+1/2,-x+1/2,z'
loop_
_atom_site_label
_atom_site_fract_x
_atom_site_fract_y
_atom_site_fract_z
Na1 0.250 0.250 0.096
Th1 0.250 0.250 0.627
P1 0.250 0.250 0.358



# PdAu2I2 | Alexandria via LeMat-Bulk | PBE | optimized geometry
# - Density: 9.4 g/cm3
# - ΔE_f (raw): 0.429 eV per atom
data_PdAu2I2
_symmetry_space_group_name_H-M 'I 4/m m m'
_symmetry_Int_Tables_number 139
_symmetry_space_group_name_Hall '-I 4 2'
_cell_length_a 5.694
_cell_length_b 5.694
_cell_length_c 8.218
_cell_angle_alpha 90.00
_cell_angle_beta 90.00
_cell_angle_gamma 90.00
loop_
_atom_site_label
_atom_site_fract_x
_atom_site_fract_y
_atom_site_fract_z
Pd1 0.000 0.000 0.000
Au1 0.000 0.000 0.329
I1 0.000 0.500 0.250



# SiNi2W | Alexandria via LeMat-Bulk | PBE | optimized geometry
# - Density: 10.9 g/cm3
# - ΔE_f (raw): -0.117 eV per atom
data_SiNi2W
_symmetry_space_group_name_H-M 'I m m 2'
_symmetry_Int_Tables_number 44
_symmetry_space_group_name_Hall 'I 2 -2'
_cell_length_a 2.790
_cell_length_b 4.268
_cell_length_c 8.441
_cell_angle_alpha 90.00
_cell_angle_beta 90.00
_cell_angle_gamma 90.00
loop_
_atom_site_label
_atom_site_fract_x
_atom_site_fract_y
_atom_site_fract_z
Si1 0.000 0.000 0.000
Ni1 0.000 0.000 0.476
Ni2 0.000 0.500 0.713
W1 0.000 0.500 0.247



# CsRe3Ag | Alexandria via LeMat-Bulk | PBE | optimized geometry
# - Density: 11.2 g/cm3
# - DFT formation energy: 4064 meV/atom
data_CsRe3Ag
_symmetry_space_group_name_H-M 'P m -3 m'
_symmetry_Int_Tables_number 221
_symmetry_space_group_name_Hall '-P 4 2 3'
_cell_length_a 4.910
_cell_length_b 4.910
_cell_length_c 4.910
_cell_angle_alpha 90.00
_cell_angle_beta 90.00
_cell_angle_gamma 90.00
loop_
_atom_site_label
_atom_site_fract_x
_atom_site_fract_y
_atom_site_fract_z
Cs1 0.000 0.000 0.000
Re1 0.000 0.000 0.500
Ag1 0.500 0.500 0.500



# LaZn2Ru2 | Alexandria via LeMat-Bulk | PBE | optimized geometry
# - Density: 8.5 g/cm3
# - DFT formation energy: -27 meV/atom
data_LaZn2Ru2
_symmetry_space_group_name_H-M 'I 4/m m m'
_symmetry_Int_Tables_number 139
_symmetry_space_group_name_Hall '-I 4 2'
_cell_length_a 4.050
_cell_length_b 4.050
_cell_length_c 11.287
_cell_angle_alpha 90.00
_cell_angle_beta 90.00
_cell_angle_gamma 90.00
loop_
_atom_site_label
_atom_site_fract_x
_atom_site_fract_y
_atom_site_fract_z
La1 0.000 0.000 0.000
Zn1 0.000 0.000 0.388
Ru1 0.000 0.500 0.250



# Pr3Y2Sn3 | Alexandria via LeMat-Bulk | PBE | optimized geometry
# - Density: 6.4 g/cm3
# - DFT formation energy: -727 meV/atom
data_Pr3Y2Sn3
_symmetry_space_group_name_H-M 'P 63/m c m'
_symmetry_Int_Tables_number 193
_symmetry_space_group_name_Hall '-P 6c 2'
_cell_length_a 9.2286
_cell_length_b 9.2286
_cell_length_c 6.7212
_cell_angle_alpha 90.00
_cell_angle_beta 90.00
_cell_angle_gamma 120.00
loop_
_atom_site_label
_atom_site_fract_x
_atom_site_fract_y
_atom_site_fract_z
Pr1 0.0000 0.2431 0.2500
Y1 0.3333 0.6667 0.0000
Sn1 0.0000 0.3981 0.7500



# CaYO2 | Alexandria via LeMat-Bulk | PBE | optimized geometry
# - Density: 3.6 g/cm3
# - ΔE_f (raw): -2.707 eV per atom
data_CaYO2
_symmetry_space_group_name_H-M 'I -4 2 d'
_symmetry_Int_Tables_number 122
_symmetry_space_group_name_Hall 'I -4 2bw'
_cell_length_a 5.308
_cell_length_b 5.308
_cell_length_c 10.600
_cell_angle_alpha 90.00
_cell_angle_beta 90.00
_cell_angle_gamma 90.00
loop_
_atom_site_label
_atom_site_fract_x
_atom_site_fract_y
_atom_site_fract_z
Ca1 0.000 0.000 0.000
Y1 0.000 0.000 0.500
O1 0.231 0.250 0.625



# Li2MnPC | Alexandria via LeMat-Bulk | PBE | optimized geometry
# - Density: 2.3 g/cm3
# - DFT formation energy: 867 meV/atom
data_Li2MnPC
_symmetry_space_group_name_H-M 'P 4/m m m'
_symmetry_Int_Tables_number 123
_symmetry_space_group_name_Hall '-P 4 2'
_cell_length_a 4.716
_cell_length_b 4.716
_cell_length_c 3.600
_cell_angle_alpha 90.00
_cell_angle_beta 90.00
_cell_angle_gamma 90.00
loop_
_atom_site_label
_atom_site_fract_x
_atom_site_fract_y
_atom_site_fract_z
Li1 0.000 0.500 0.000
Mn1 0.000 0.000 0.500
P1 0.500 0.500 0.000
C1 0.500 0.500 0.500



# Pm2HoC2I2 | Alexandria via LeMat-Bulk | PBE | optimized geometry
# - Density: 6.1 g/cm3
# - ΔE_f (raw): -0.497 eV per atom
data_Pm2HoC2I2
_symmetry_space_group_name_H-M 'I 4/m m m'
_symmetry_Int_Tables_number 139
_symmetry_space_group_name_Hall '-I 4 2'
_cell_length_a 4.487
_cell_length_b 4.487
_cell_length_c 19.834
_cell_angle_alpha 90.00
_cell_angle_beta 90.00
_cell_angle_gamma 90.00
loop_
_atom_site_label
_atom_site_fract_x
_atom_site_fract_y
_atom_site_fract_z
Pm1 0.000 0.000 0.078
Ho1 0.000 0.000 0.500
C1 0.000 0.500 0.000
I1 0.000 0.000 0.337



# MgZnI2 | Alexandria via LeMat-Bulk | PBE | optimized geometry
# - Density: 3.2 g/cm3
# - ΔE_f (raw): -0.450 eV per atom
data_MgZnI2
_symmetry_space_group_name_H-M 'I -4 2 d'
_symmetry_Int_Tables_number 122
_symmetry_space_group_name_Hall 'I -4 2bw'
_cell_length_a 8.530
_cell_length_b 8.530
_cell_length_c 9.939
_cell_angle_alpha 90.00
_cell_angle_beta 90.00
_cell_angle_gamma 90.00
loop_
_atom_site_label
_atom_site_fract_x
_atom_site_fract_y
_atom_site_fract_z
Mg1 0.000 0.000 0.000
Zn1 0.000 0.000 0.500
I1 0.149 0.250 0.125



# Sr2Ac4Sb3N2 | Alexandria via LeMat-Bulk | PBE | optimized geometry
# - Density: 6.8 g/cm3
# - ΔE_f (raw): -1.057 eV per atom
data_Sr2Ac4Sb3N2
_symmetry_space_group_name_H-M 'I 4/m m m'
_symmetry_Int_Tables_number 139
_symmetry_space_group_name_Hall '-I 4 2'
_cell_length_a 5.168
_cell_length_b 5.168
_cell_length_c 26.926
_cell_angle_alpha 90.00
_cell_angle_beta 90.00
_cell_angle_gamma 90.00
loop_
_atom_site_label
_atom_site_fract_x
_atom_site_fract_y
_atom_site_fract_z
Sr1 0.000 0.000 0.197
Ac1 0.000 0.500 0.086
Sb1 0.000 0.000 0.324
Sb2 0.000 0.000 0.500
N1 0.000 0.000 0.102



# NaOsN | Alexandria via LeMat-Bulk | PBE | optimized geometry
# - Density: 8.5 g/cm3
# - ΔE_f (raw): 0.473 eV per atom
data_NaOsN
_symmetry_space_group_name_H-M 'F d d d'
_symmetry_Int_Tables_number 70
_cell_length_a 7.568
_cell_length_b 8.916
_cell_length_c 10.549
_cell_angle_alpha 90.00
_cell_angle_beta 90.00
_cell_angle_gamma 90.00
loop_
_symmetry_equiv_pos_as_xyz
'x,y,z'
'-x,-y,-z'
'-x+1/4,-y+1/4,z'
'x+1/4,y+1/4,-z'
'x,-y+1/4,-z+1/4'
'-x,y+1/4,z+1/4'
'-x+1/4,y,-z+1/4'
'x+1/4,-y,z+1/4'
'x,y+1/2,z+1/2'
'-x,-y+1/2,-z+1/2'
'-x+1/4,-y+3/4,z+1/2'
'x+1/4,y+3/4,-z+1/2'
'x,-y+3/4,-z+3/4'
'-x,y+3/4,z+3/4'
'-x+1/4,y+1/2,-z+3/4'
'x+1/4,-y+1/2,z+3/4'
'x+1/2,y,z+1/2'
'-x+1/2,-y,-z+1/2'
'-x+3/4,-y+1/4,z+1/2'
'x+3/4,y+1/4,-z+1/2'
'x+1/2,-y+1/4,-z+3/4'
'-x+1/2,y+1/4,z+3/4'
'-x+3/4,y,-z+3/4'
'x+3/4,-y,z+3/4'
'x+1/2,y+1/2,z'
'-x+1/2,-y+1/2,-z'
'-x+3/4,-y+3/4,z'
'x+3/4,y+3/4,-z'
'x+1/2,-y+3/4,-z+1/4'
'-x+1/2,y+3/4,z+1/4'
'-x+3/4,y+1/2,-z+1/4'
'x+3/4,-y+1/2,z+1/4'
loop_
_atom_site_label
_atom_site_fract_x
_atom_site_fract_y
_atom_site_fract_z
Na1 0.125 0.125 0.259
Os1 0.000 0.000 0.500
N1 0.099 0.375 0.875



# Li7TmAg4 | Alexandria via LeMat-Bulk | PBE | optimized geometry
# - Density: 4.8 g/cm3
# - DFT formation energy: 21 meV/atom
data_Li7TmAg4
_symmetry_space_group_name_H-M 'C 1 2/m 1'
_symmetry_Int_Tables_number 12
_symmetry_space_group_name_Hall '-C 2y'
_cell_length_a 13.484
_cell_length_b 4.905
_cell_length_c 8.441
_cell_angle_alpha 90.00
_cell_angle_beta 127.05
_cell_angle_gamma 90.00
loop_
_atom_site_label
_atom_site_fract_x
_atom_site_fract_y
_atom_site_fract_z
Li1 0.000 0.000 0.000
Li2 0.065 0.500 0.424
Li3 0.200 0.000 0.654
Li4 0.221 0.500 0.885
Tm1 0.000 0.500 0.000
Ag1 0.050 0.000 0.751
Ag2 0.191 0.000 0.343



# SiNi3Te | Alexandria via LeMat-Bulk | PBE | optimized geometry
# - Density: 6.9 g/cm3
# - ΔE_f (raw): 0.253 eV per atom
data_SiNi3Te
_symmetry_space_group_name_H-M 'P m -3 m'
_symmetry_Int_Tables_number 221
_symmetry_space_group_name_Hall '-P 4 2 3'
_cell_length_a 4.304
_cell_length_b 4.304
_cell_length_c 4.304
_cell_angle_alpha 90.00
_cell_angle_beta 90.00
_cell_angle_gamma 90.00
loop_
_atom_site_label
_atom_site_fract_x
_atom_site_fract_y
_atom_site_fract_z
Si1 0.000 0.000 0.000
Ni1 0.000 0.000 0.500
Te1 0.500 0.500 0.500



# ErPaSb2C | Alexandria via LeMat-Bulk | PBE | optimized geometry
# - Density: 9.0 g/cm3
# - ΔE_f (raw): -0.458 eV per atom
data_ErPaSb2C
_symmetry_space_group_name_H-M 'P 4/n m m'
_symmetry_Int_Tables_number 129
_cell_length_a 4.279
_cell_length_b 4.279
_cell_length_c 13.163
_cell_angle_alpha 90.00
_cell_angle_beta 90.00
_cell_angle_gamma 90.00
loop_
_symmetry_equiv_pos_as_xyz
'x,y,z'
'-x,-y,-z'
'-y+1/2,x,z'
'y+1/2,-x,-z'
'-x+1/2,-y+1/2,z'
'x+1/2,y+1/2,-z'
'y,-x+1/2,z'
'-y,x+1/2,-z'
'x+1/2,-y,-z'
'-x+1/2,y,z'
'-y,-x,-z'
'y,x,z'
'-x,y+1/2,-z'
'x,-y+1/2,z'
'y+1/2,x+1/2,-z'
'-y+1/2,-x+1/2,z'
loop_
_atom_site_label
_atom_site_fract_x
_atom_site_fract_y
_atom_site_fract_z
Er1 0.250 0.250 0.097
Pa1 0.250 0.250 0.579
Sb1 0.250 0.250 0.325
Sb2 0.250 0.250 0.862
C1 0.250 0.750 0.500



# MnVPt2 | Alexandria via LeMat-Bulk | PBE | optimized geometry
# - Density: 13.7 g/cm3
# - DFT formation energy: -271 meV/atom
data_MnVPt2
_symmetry_space_group_name_H-M 'F m -3 m'
_symmetry_Int_Tables_number 225
_symmetry_space_group_name_Hall '-F 4 2 3'
_cell_length_a 6.221
_cell_length_b 6.221
_cell_length_c 6.221
_cell_angle_alpha 90.00
_cell_angle_beta 90.00
_cell_angle_gamma 90.00
loop_
_atom_site_label
_atom_site_fract_x
_atom_site_fract_y
_atom_site_fract_z
Mn1 0.000 0.000 0.000
V1 0.000 0.000 0.500
Pt1 0.250 0.250 0.250



# Li3Hg | Alexandria via LeMat-Bulk | PBE | optimized geometry
# - Density: 5.3 g/cm3
# - DFT formation energy: -279 meV/atom
data_Li3Hg
_symmetry_space_group_name_H-M 'P m m n'
_symmetry_Int_Tables_number 59
_cell_length_a 5.882
_cell_length_b 14.320
_cell_length_c 4.975
_cell_angle_alpha 90.00
_cell_angle_beta 90.00
_cell_angle_gamma 90.00
loop_
_symmetry_equiv_pos_as_xyz
'x,y,z'
'-x,-y,-z'
'-x+1/2,-y+1/2,z'
'x+1/2,y+1/2,-z'
'x+1/2,-y,-z'
'-x+1/2,y,z'
'-x,y+1/2,-z'
'x,-y+1/2,z'
loop_
_atom_site_label
_atom_site_fract_x
_atom_site_fract_y
_atom_site_fract_z
Li1 0.000 0.084 0.175
Li2 0.001 0.250 0.538
Li3 0.250 0.250 0.018
Li4 0.250 0.583 0.323
Hg1 0.250 0.082 0.675
Hg2 0.250 0.750 0.961



# Li2MgTl | Alexandria via LeMat-Bulk | PBE | optimized geometry
# - Density: 5.0 g/cm3
# - DFT formation energy: -211 meV/atom
data_Li2MgTl
_symmetry_space_group_name_H-M 'F -4 3 m'
_symmetry_Int_Tables_number 216
_symmetry_space_group_name_Hall 'F -4 2 3'
_cell_length_a 6.850
_cell_length_b 6.850
_cell_length_c 6.850
_cell_angle_alpha 90.00
_cell_angle_beta 90.00
_cell_angle_gamma 90.00
loop_
_atom_site_label
_atom_site_fract_x
_atom_site_fract_y
_atom_site_fract_z
Li1 0.000 0.000 0.000
Li2 0.250 0.250 0.250
Mg1 0.250 0.250 0.750
Tl1 0.000 0.000 0.500



# AcSi2SnAu5 | Alexandria via LeMat-Bulk | PBE | optimized geometry
# - Density: 10.8 g/cm3
# - ΔE_f (raw): -0.305 eV per atom
data_AcSi2SnAu5
_symmetry_space_group_name_H-M 'P 4/m m m'
_symmetry_Int_Tables_number 123
_symmetry_space_group_name_Hall '-P 4 2'
_cell_length_a 4.598
_cell_length_b 4.598
_cell_length_c 10.084
_cell_angle_alpha 90.00
_cell_angle_beta 90.00
_cell_angle_gamma 90.00
loop_
_atom_site_label
_atom_site_fract_x
_atom_site_fract_y
_atom_site_fract_z
Ac1 0.000 0.000 0.000
Si1 0.500 0.500 0.234
Sn1 0.000 0.000 0.500
Au1 0.000 0.500 0.318
Au2 0.500 0.500 0.000



# GdLuCoIr | Alexandria via LeMat-Bulk | PBE | optimized geometry
# - Density: 12.6 g/cm3
# - DFT formation energy: -536 meV/atom
data_GdLuCoIr
_symmetry_space_group_name_H-M 'F -4 3 m'
_symmetry_Int_Tables_number 216
_symmetry_space_group_name_Hall 'F -4 2 3'
_cell_length_a 6.746
_cell_length_b 6.746
_cell_length_c 6.746
_cell_angle_alpha 90.00
_cell_angle_beta 90.00
_cell_angle_gamma 90.00
loop_
_atom_site_label
_atom_site_fract_x
_atom_site_fract_y
_atom_site_fract_z
Gd1 0.000 0.000 0.000
Lu1 0.000 0.000 0.500
Co1 0.250 0.250 0.250
Ir1 0.250 0.250 0.750



# CdAg4Au2 | Alexandria via LeMat-Bulk | PBE | optimized geometry
# - Density: 11.1 g/cm3
# - DFT formation energy: 23 meV/atom
data_CdAg4Au2
_symmetry_space_group_name_H-M 'P 42/m n m'
_symmetry_Int_Tables_number 136
_symmetry_space_group_name_Hall '-P 4n 2n'
_cell_length_a 7.834
_cell_length_b 7.834
_cell_length_c 4.563
_cell_angle_alpha 90.00
_cell_angle_beta 90.00
_cell_angle_gamma 90.00
loop_
_atom_site_label
_atom_site_fract_x
_atom_site_fract_y
_atom_site_fract_z
Cd1 0.000 0.000 0.000
Ag1 0.111 0.366 0.000
Au1 0.156 0.156 0.500